No. 1
TbY2TmO6 after structural relaxation, computed with PBE.

## Properties
Symmetry   R3
Crystal system   trigonal

```
10
Lattice="5.803 0.000 0.000 2.902 5.026 0.000 2.902 1.676 5.059" Properties=species:S:1:pos:R:3 pbc="T T T"
Tb 8.705 5.026 2.927
Y 5.803 3.351 2.139
Y 2.902 1.676 4.691
Tm 2.902 1.675 0.354
O 4.913 1.469 1.270
O 4.619 5.063 1.270
O 7.879 3.520 1.270
O 6.647 4.806 3.817
O 6.642 1.893 3.817
O 4.121 3.354 3.817
```

---

No. 2
Tb5U2O12 after structural relaxation, computed with PBE.

## Properties
Symmetry   C2/m
Crystal system   monoclinic

```
19
Lattice="-0.064 5.421 -2.876 -4.972 -0.976 4.818 6.392 2.142 3.897" Properties=species:S:1:pos:R:3 pbc="T T T"
Tb 1.089 2.390 4.480
Tb -1.873 1.489 2.849
Tb 3.196 1.071 1.948
Tb 3.230 5.098 2.990
Tb 0.267 4.198 1.359
U -0.049 4.202 -2.229
U -0.014 1.218 -0.646
O -3.560 4.856 2.685
O 2.497 1.783 6.374
O 2.467 4.323 5.026
O -0.679 0.798 4.734
O -0.710 3.459 3.322
O 5.141 4.473 1.771
O -3.785 2.114 4.068
O 2.036 5.789 1.105
O 2.067 3.128 2.517
O -1.140 4.804 -0.535
O -1.111 2.264 0.813
O 4.917 1.731 3.154
```

---

No. 3
Tb3UO8 after structural relaxation, computed with PBE.

## Properties
Symmetry   Pm-3m
Crystal system   cubic

```
12
Lattice="-2.762 -2.765 3.698 3.868 -3.739 0.094 2.522 2.707 3.907" Properties=species:S:1:pos:R:3 pbc="T T T"
Tb 0.553 -3.252 1.896
Tb -0.120 -0.029 3.803
Tb 3.195 -0.516 2.001
U 0.000 0.000 0.000
O 2.183 0.502 3.880
O 2.885 -2.858 1.891
O -0.572 -2.351 3.771
O 2.760 -2.889 5.857
O 1.445 -4.300 3.819
O 0.743 -0.939 5.808
O 4.200 -1.447 3.929
O 0.868 -0.909 1.843
```

---

Uncorrected formation energy (eV/atom)
-3.53 -3.35 -3.28